No. 1
{"formula": "NaPmPr2", "functional": "PBE", "state": "optimized geometry", "vol_a3_per_cell": 148.1, "sg": "R-3m, No. 166", "e_above_lowest_polymorph_mev_per_atom": 41, "lattice": [[1.809, 1.045, 13.061], [-1.809, 1.045, 13.061], [0.000, -2.089, 13.061]], "species": ["Na", "Pm", "Pr", "Pr"], "fractional_positions": [[0.000, 0.000, 0.000], [0.500, 0.500, 0.500], [0.091, 0.091, 0.091], [0.909, 0.909, 0.909]]}

***

No. 2
{"formula": "NaPm2Pr", "functional": "PBE", "state": "optimized geometry", "vol_a3_per_cell": 146.1, "sg": "R-3m, No. 166", "e_above_lowest_polymorph_mev_per_atom": 41, "lattice": [[1.801, 1.040, 13.008], [-1.801, 1.040, 13.008], [0.000, -2.079, 13.008]], "species": ["Na", "Pm", "Pm", "Pr"], "fractional_positions": [[0.000, 0.000, 0.000], [0.091, 0.091, 0.091], [0.909, 0.909, 0.909], [0.500, 0.500, 0.500]]}

***

Number 1: DOS(E_F) 5.1 states/eV per cell, formation energy 130 meV/atom, total DFT energy (no corrections) -3.778 eV per atom. Number 2: DOS(E_F) 5.5 states/eV per cell, formation energy 152 meV/atom, total DFT energy (no corrections) -3.748 eV per atom.